# 1
Below is an optimized crystal structure of LiSi2, with properties calculated at the PBE level.

Lattice parameters (Å, degrees): 6.0732 6.0732 6.0732 153.36 153.36 38.03
With the nearest neighbours (Å) after each atom.
Atoms (fractional coordinates):
Li (0.0000, 0.0000, 0.0000)  4 Li 2.80, 8 Si 2.83
Si (0.3241, 0.3241, 0.0000)  8 Si 2.61-2.80, 4 Li 2.83
Si (0.6759, 0.6759, 0.0000)  8 Si 2.61-2.80, 4 Li 2.83

Symmetry: I4/mmm
Size of the total moment (μB/f.u.): 0.000
Energy relative to the elements, uncorrected (kcal/mol of atoms): 3.60

---

# 2
Below is an optimized crystal structure of CaZnHg2, with properties calculated at the PBE level.

Lattice parameters (Å, degrees): 5.3797 5.3797 5.0683 61.86 61.86 48.55
With the nearest neighbours (Å) after each atom.
Atoms (fractional coordinates):
Zn (0.7500, 0.7500, 0.7500)  4 Hg 2.93
Ca (0.2500, 0.2500, 0.2500)  8 Hg 3.17-3.18, 4 Zn 3.36
Hg (0.0205, 0.0205, 0.9796)  2 Zn 2.93, 4 Ca 3.17-3.18
Hg (0.4795, 0.4795, 0.5204)  2 Zn 2.93, 4 Ca 3.17-3.18

Energy relative to the elements (meV per atom): -289
Symmetry: Immm
Size of the total moment (μB/f.u.): 0.000

---

# 3
Below is an optimized crystal structure of MoIr3, with properties calculated at the PBE level.

Lattice parameters (Å, degrees): 5.5182 5.5182 8.9315 90.00 90.00 60.00
With the nearest neighbours (Å) after each atom.
Atoms (fractional coordinates):
Ir (0.5000, 0.5000, 0.0000)  8 Ir 2.74-2.76, 4 Mo 2.74-2.76
Ir (0.5000, 0.5000, 0.5000)  8 Ir 2.74-2.76, 4 Mo 2.74-2.76
Ir (0.8310, 0.3380, 0.7500)  8 Ir 2.72-2.80, 4 Mo 2.76
Ir (0.3380, 0.8310, 0.7500)  8 Ir 2.72-2.80, 4 Mo 2.76
Ir (0.1690, 0.1690, 0.2500)  8 Ir 2.72-2.80, 4 Mo 2.76
Ir (0.5000, 0.0000, 0.0000)  8 Ir 2.74-2.76, 4 Mo 2.74-2.76
Ir (0.5000, 0.0000, 0.5000)  8 Ir 2.74-2.76, 4 Mo 2.74-2.76
Ir (0.0000, 0.5000, 0.0000)  8 Ir 2.74-2.76, 4 Mo 2.74-2.76
Ir (0.0000, 0.5000, 0.5000)  8 Ir 2.74-2.76, 4 Mo 2.74-2.76
Ir (0.8310, 0.8310, 0.7500)  8 Ir 2.72-2.80, 4 Mo 2.76
Ir (0.6620, 0.1690, 0.2500)  8 Ir 2.72-2.80, 4 Mo 2.76
Ir (0.1690, 0.6620, 0.2500)  8 Ir 2.72-2.80, 4 Mo 2.76
Mo (0.0000, 0.0000, 0.0000)  12 Ir 2.76
Mo (0.0000, 0.0000, 0.5000)  12 Ir 2.76
Mo (0.6667, 0.6667, 0.2500)  12 Ir 2.74-2.76
Mo (0.3333, 0.3333, 0.7500)  12 Ir 2.74-2.76

Energy relative to the elements (meV per atom): -280
Symmetry: P6_3/mmc
Size of the total moment (μB/f.u.): 0.000

---

# 4
Below is an optimized crystal structure of TaReOs3, with properties calculated at the PBE level.

Lattice parameters (Å, degrees): 4.2943 5.5276 7.3882 67.77 106.87 89.99
With the nearest neighbours (Å) after each atom.
Atoms (fractional coordinates):
Ta (0.5004, 0.2482, 0.5000)  2 Os 2.60, 2 Ta 2.74-2.78
Ta (0.4996, 0.7517, 0.5000)  2 Os 2.60, 2 Ta 2.74-2.78
Re (0.1165, 0.3850, 0.7324)  8 Os 2.76-2.78, 4 Ta 2.96-2.98, 1 Re 3.02
Re (0.8835, 0.6150, 0.2676)  8 Os 2.76-2.78, 4 Ta 2.96-2.98, 1 Re 3.02
Os (0.2999, 0.9493, 0.1001)  7 Os 2.51-2.78, 1 Ta 2.60, 3 Re 2.76-2.77
Os (0.7002, 0.5507, 0.8999)  7 Os 2.51-2.78, 1 Ta 2.60, 3 Re 2.76-2.78
Os (0.1159, 0.8858, 0.7310)  2 Re 2.76, 7 Os 2.77-3.00, 4 Ta 2.95-2.97
Os (0.8841, 0.1142, 0.2690)  2 Re 2.76, 7 Os 2.77-3.00, 4 Ta 2.95-2.97
Os (0.7001, 0.0507, 0.8999)  7 Os 2.51-2.78, 1 Ta 2.60, 3 Re 2.76-2.77
Os (0.2998, 0.4493, 0.1001)  7 Os 2.51-2.78, 1 Ta 2.60, 3 Re 2.76-2.78

Energy relative to the elements (meV per atom): 63
Symmetry: P-1
Size of the total moment (μB/f.u.): 0.000

---

# 5
Below is an optimized crystal structure of Tb4ZnAu7, with properties calculated at the PBE level.

Lattice parameters (Å, degrees): 4.9938 8.3529 7.6043 68.99 70.83 72.61
With the nearest neighbours (Å) after each atom.
Atoms (fractional coordinates):
Tb (0.5629, 0.2539, 0.6203)  8 Au 2.89-3.17
Tb (0.4371, 0.7461, 0.3797)  8 Au 2.89-3.17
Tb (0.7338, 0.7431, 0.7892)  6 Au 2.88-3.19
Tb (0.2662, 0.2569, 0.2108)  6 Au 2.88-3.19
Zn (0.0000, 0.0000, 0.0000)  6 Au 2.50-2.74
Au (0.8127, 0.9897, 0.3849)  1 Zn 2.74, 2 Tb 3.00-3.06, 2 Au 3.03
Au (0.1873, 0.0103, 0.6151)  1 Zn 2.74, 2 Tb 3.00-3.06, 2 Au 3.03
Au (0.0866, 0.6519, 0.1749)  1 Zn 2.69, 2 Au 2.95
Au (0.9134, 0.3481, 0.8251)  1 Zn 2.69, 2 Au 2.95
Au (0.3258, 0.5495, 0.7990)  5 Tb 2.93-3.19, 3 Au 2.95-3.04
Au (0.5000, 0.0000, 0.0000)  2 Zn 2.50
Au (0.6742, 0.4505, 0.2010)  5 Tb 2.93-3.19, 3 Au 2.95-3.04

Energy relative to the elements (meV per atom): -669
Symmetry: C2/m
Size of the total moment (μB/f.u.): 0.000

---

# 6
Below is an optimized crystal structure of ErScSb, with properties calculated at the PBE level.

Lattice parameters (Å, degrees): 5.2329 5.2329 7.9283 70.73 70.73 60.00
With the nearest neighbours (Å) after each atom.
Atoms (fractional coordinates):
Er (0.4219, 0.4219, 0.7343)  4 Sb 3.11-3.16, 3 Sc 3.31, 1 Er 3.44
Er (0.5781, 0.5781, 0.2657)  4 Sb 3.11-3.16, 3 Sc 3.31, 1 Er 3.44
Sb (0.2781, 0.2781, 0.1658)  1 Sc 2.83, 4 Er 3.11-3.16
Sb (0.7219, 0.7219, 0.8342)  1 Sc 2.83, 4 Er 3.11-3.16
Sc (0.1495, 0.1495, 0.5515)  1 Sb 2.83, 3 Sc 3.11
Sc (0.8505, 0.8505, 0.4485)  1 Sb 2.83, 3 Sc 3.11

Symmetry: R-3m
Size of the total moment (μB/f.u.): 0.000
Energy relative to the elements, uncorrected (kcal/mol of atoms): -9.89

---

# 7
Below is an optimized crystal structure of NaCaPrTl, with properties calculated at the PBE level.

Lattice parameters (Å, degrees): 5.5912 5.5912 5.5912 60.00 60.00 60.00
With the nearest neighbours (Å) after each atom.
Atoms (fractional coordinates):
Pr (0.7500, 0.7500, 0.7500)  4 Tl 3.42, 4 Na 3.42
Na (0.0000, 0.0000, 0.0000)  4 Pr 3.42, 4 Ca 3.42
Tl (0.5000, 0.5000, 0.5000)  4 Pr 3.42, 4 Ca 3.42
Ca (0.2500, 0.2500, 0.2500)  4 Tl 3.42, 4 Na 3.42

Energy relative to the elements (meV per atom): -169
Symmetry: F-43m
Size of the total moment (μB/f.u.): 0.000

---

# 8
Below is an optimized crystal structure of SrZnCuRh, with properties calculated at the PBE level.

Lattice parameters (Å, degrees): 4.3607 4.3603 5.8050 111.95 90.00 120.00
With the nearest neighbours (Å) after each atom.
Atoms (fractional coordinates):
Sr (0.6190, 0.2381, 0.4976)  1 Cu 2.96, 1 Rh 3.02
Zn (0.1143, 0.2285, 0.9853)  3 Rh 2.54, 3 Cu 2.55
Cu (0.8070, 0.6140, 0.0637)  3 Zn 2.55, 3 Rh 2.63
Rh (0.4260, 0.8520, 0.9208)  3 Zn 2.54, 3 Cu 2.63

Energy relative to the elements (meV per atom): -292
Symmetry: Cm
Size of the total moment (μB/f.u.): 0.000

---

# 9
Below is an optimized crystal structure of TbTeS, with properties calculated at the PBE level.

Lattice parameters (Å, degrees): 3.7142 3.6049 6.6278 105.78 90.00 90.00
With the nearest neighbours (Å) after each atom.
Atoms (fractional coordinates):
Tb (0.8669, 0.8445, 0.2408)  4 S 2.71
Te (0.8670, 0.5516, 0.6554)  2 Tb 3.20
S (0.3668, 0.2815, 0.1147)  4 Tb 2.71

Symmetry: Amm2
Size of the total moment (μB/f.u.): 0.000
Energy relative to the elements, uncorrected (kcal/mol of atoms): -30.50

---

# 10
Below is an optimized crystal structure of PmTa2Ru2, with properties calculated at the PBE level.

Lattice parameters (Å, degrees): 4.3736 4.3736 6.2180 110.59 110.59 90.00
With the nearest neighbours (Å) after each atom.
Atoms (fractional coordinates):
Pm (0.0000, 0.0000, 0.0000)  8 Ru 3.36, 8 Ta 3.47
Ta (0.7500, 0.2500, 0.5000)  4 Ru 2.59
Ta (0.2500, 0.7500, 0.5000)  4 Ru 2.59
Ru (0.6213, 0.6213, 0.2426)  4 Ta 2.59, 1 Ru 2.62
Ru (0.3787, 0.3787, 0.7574)  4 Ta 2.59, 1 Ru 2.62

Energy relative to the elements (meV per atom): -282
Symmetry: I4/mmm
Size of the total moment (μB/f.u.): 0.000

---

# 11
Below is an optimized crystal structure of TaAs2Pt, with properties calculated at the PBE level.

Lattice parameters (Å, degrees): 4.1919 2.8389 7.0150 78.12 90.00 90.00
With the nearest neighbours (Å) after each atom.
Atoms (fractional coordinates):
As (0.0000, 0.1030, 0.9141)  1 Pt 2.56, 2 As 2.84
As (0.5000, 0.3974, 0.3343)  2 Pt 2.53
Pt (0.0000, 0.2934, 0.5406)  3 As 2.53-2.56, 4 Ta 2.79
Ta (0.5000, 0.7063, 0.7110)  4 Pt 2.79, 2 Ta 2.84, 6 As 2.89-2.95

Energy relative to the elements (meV per atom): -247
Symmetry: Pm
Size of the total moment (μB/f.u.): 0.000

---

# 12
Below is an optimized crystal structure of MoRuRh2, with properties calculated at the PBE level.

Lattice parameters (Å, degrees): 9.0610 9.0610 9.0610 17.43 17.43 17.43
With the nearest neighbours (Å) after each atom.
Atoms (fractional coordinates):
Mo (0.7496, 0.7496, 0.7496)  3 Rh 2.71, 6 Mo 2.75, 3 Ru 2.76
Rh (0.0007, 0.0007, 0.0007)  3 Mo 2.71, 9 Rh 2.75-2.78
Rh (0.2489, 0.2489, 0.2489)  3 Ru 2.70, 9 Rh 2.75-2.78
Ru (0.5007, 0.5007, 0.5007)  3 Rh 2.70, 6 Ru 2.75, 3 Mo 2.76

Energy relative to the elements (meV per atom): 27
Symmetry: R3m
Size of the total moment (μB/f.u.): 0.000

---

# 13
Below is an optimized crystal structure of Pr4HoTm4, with properties calculated at the PBE level.

Lattice parameters (Å, degrees): 5.0756 8.0441 8.0441 84.29 71.61 71.61
With the nearest neighbours (Å) after each atom.
Atoms (fractional coordinates):
Pr (0.0000, 0.6712, 0.3288)  1 Ho 3.55, 6 Tm 3.57-3.61, 5 Pr 3.64-3.70
Pr (0.0000, 0.3288, 0.6712)  1 Ho 3.55, 6 Tm 3.57-3.61, 5 Pr 3.64-3.70
Pr (0.6712, 0.3288, 0.3288)  1 Ho 3.55, 6 Tm 3.57-3.61, 5 Pr 3.64-3.70
Pr (0.3288, 0.6712, 0.6712)  1 Ho 3.55, 6 Tm 3.57-3.61, 5 Pr 3.64-3.70
Ho (0.0000, 0.0000, 0.0000)  4 Pr 3.55, 8 Tm 3.58
Tm (0.3347, 0.3306, 0.0000)  6 Pr 3.57-3.61, 4 Tm 3.57-3.62, 2 Ho 3.58
Tm (0.6653, 0.6694, 0.0000)  6 Pr 3.57-3.61, 4 Tm 3.57-3.62, 2 Ho 3.58
Tm (0.6653, 0.0000, 0.6694)  6 Pr 3.57-3.61, 4 Tm 3.57-3.62, 2 Ho 3.58
Tm (0.3347, 0.0000, 0.3306)  6 Pr 3.57-3.61, 4 Tm 3.57-3.62, 2 Ho 3.58

Energy relative to the elements (meV per atom): 28
Symmetry: I4/mmm
Size of the total moment (μB/f.u.): 0.000

---

# 14
Below is an optimized crystal structure of ZnSnS3, with properties calculated at the PBE level.

Lattice parameters (Å, degrees): 4.7101 4.7101 4.7101 90.00 90.00 90.00
With the nearest neighbours (Å) after each atom.
Atoms (fractional coordinates):
S (0.0000, 0.5000, 0.0000)  2 Zn 2.36
S (0.0000, 0.0000, 0.5000)  2 Zn 2.36
S (0.5000, 0.0000, 0.0000)  2 Zn 2.36
Zn (0.0000, 0.0000, 0.0000)  6 S 2.36
Sn (0.5000, 0.5000, 0.5000)  12 S 3.33

Symmetry: Pm-3m
Size of the total moment (μB/f.u.): 0.000
Energy relative to the elements, uncorrected (kcal/mol of atoms): 3.48

---

# 15
Below is an optimized crystal structure of Ti3PtN, with properties calculated at the PBE level.

Lattice parameters (Å, degrees): 4.1845 8.1219 4.0497 90.00 90.00 90.00
With the nearest neighbours (Å) after each atom.
Atoms (fractional coordinates):
Ti (0.5099, 0.9809, 0.1100)  3 N 2.10-2.11
Ti (0.0099, 0.7359, 0.1100)  3 N 2.10-2.11
Ti (0.5099, 0.7182, 0.6099)  2 N 2.02
Ti (0.5099, 0.4681, 0.1100)  1 N 2.05
Ti (0.0099, 0.2487, 0.1099)  1 N 2.05
Ti (0.0099, 0.9986, 0.6099)  2 N 2.02-2.03
Pt (0.5099, 0.2370, 0.6100)  10 Ti 2.76-2.91, 2 Pt 2.88
Pt (0.0099, 0.4798, 0.6100)  10 Ti 2.76-2.91, 2 Pt 2.88
N (0.5099, 0.7208, 0.1100)  6 Ti 2.02-2.11
N (0.0099, 0.9960, 0.1100)  6 Ti 2.02-2.11

Symmetry: Pmma
Size of the total moment (μB/f.u.): 0.064
Energy relative to the elements, uncorrected (kcal/mol of atoms): -26.63

---

# 16
Below is an optimized crystal structure of Er4MgIn, with properties calculated at the PBE level.

Lattice parameters (Å, degrees): 5.1326 6.4659 11.9329 90.00 102.42 90.00
With the nearest neighbours (Å) after each atom.
Atoms (fractional coordinates):
Er (0.8633, 0.2716, 0.7265)  2 In 3.16-3.39, 2 Mg 3.32, 2 Er 3.34
Er (0.1367, 0.7716, 0.2735)  2 In 3.16-3.39, 2 Mg 3.32, 2 Er 3.34
Er (0.4187, 0.8994, 0.8374)  3 Mg 3.16-3.32, 2 In 3.23, 2 Er 3.33-3.46
Er (0.5813, 0.3994, 0.1626)  3 Mg 3.16-3.32, 2 In 3.23, 2 Er 3.33-3.46
Er (0.7195, 0.5307, 0.4391)  7 Er 3.25-3.57, 3 In 3.27-3.31
Er (0.2805, 0.0307, 0.5609)  7 Er 3.25-3.57, 3 In 3.27-3.31
Er (0.6907, 0.0388, 0.3814)  2 In 3.12, 7 Er 3.25-3.46, 1 Mg 3.30
Er (0.3093, 0.5388, 0.6186)  2 In 3.12, 7 Er 3.25-3.46, 1 Mg 3.30
Mg (0.5542, 0.9034, 0.1084)  6 Er 3.16-3.32
Mg (0.4458, 0.4034, 0.8916)  6 Er 3.16-3.32
In (0.8401, 0.7896, 0.6802)  9 Er 3.12-3.39
In (0.1599, 0.2896, 0.3198)  9 Er 3.12-3.39

Energy relative to the elements (meV per atom): 93
Symmetry: Cmc2_1
Size of the total moment (μB/f.u.): 0.000

---

# 17
Below is an optimized crystal structure of Ta2TiI, with properties calculated at the PBE level.

Lattice parameters (Å, degrees): 4.0323 4.0323 10.5084 78.94 78.94 90.00
With the nearest neighbours (Å) after each atom.
Atoms (fractional coordinates):
I (0.0000, 0.0000, 0.0000)  4 Ti 2.85, 4 Ta 2.91
I (0.7500, 0.2500, 0.5000)  4 Ti 2.85, 4 Ta 2.91
Ti (0.5000, 0.5000, 0.0000)  4 I 2.85, 4 Ta 2.90
Ti (0.2500, 0.7500, 0.5000)  4 I 2.85, 4 Ta 2.90
Ta (0.6207, 0.1250, 0.2500)  4 Ta 2.83-2.88, 2 Ti 2.90, 2 I 2.91
Ta (0.1293, 0.6250, 0.2500)  4 Ta 2.83-2.88, 2 Ti 2.90, 2 I 2.91
Ta (0.3750, 0.3793, 0.7500)  4 Ta 2.83-2.88, 2 Ti 2.90, 2 I 2.91
Ta (0.8750, 0.8707, 0.7500)  4 Ta 2.83-2.88, 2 Ti 2.90, 2 I 2.91

Symmetry: I-42d
Size of the total moment (μB/f.u.): 0.000
Energy relative to the elements, uncorrected (kcal/mol of atoms): 17.91

---

# 18
Below is an optimized crystal structure of ZnFeOs2, with properties calculated at the PBE level.

Lattice parameters (Å, degrees): 4.6765 4.6765 4.5705 80.94 80.94 33.76
With the nearest neighbours (Å) after each atom.
Atoms (fractional coordinates):
Fe (0.7466, 0.7466, 0.7356)  3 Zn 2.56-2.68, 7 Os 2.62-2.78, 2 Fe 2.72
Os (0.9987, 0.9987, 0.0196)  5 Os 2.61-2.72, 4 Zn 2.65-2.66, 3 Fe 2.74-2.78
Os (0.2552, 0.2552, 0.2239)  5 Os 2.61-2.72, 4 Fe 2.62-2.69, 3 Zn 2.76-2.81
Zn (0.4995, 0.4995, 0.5208)  3 Fe 2.56-2.68, 7 Os 2.65-2.81, 2 Zn 2.72

Energy relative to the elements (meV per atom): 217
Symmetry: Cm
Size of the total moment (μB/f.u.): 2.245

---

# 19
Below is an optimized crystal structure of MnIn2Te, with properties calculated at the PBE level.

Lattice parameters (Å, degrees): 5.6942 5.6942 5.6942 131.94 131.94 70.33
With the nearest neighbours (Å) after each atom.
Atoms (fractional coordinates):
In (0.0000, 0.0000, 0.0000)  4 Mn 3.28, 4 In 3.29, 4 Te 3.29
In (0.2500, 0.7500, 0.5000)  4 Te 3.28, 4 In 3.29, 4 Mn 3.29
Mn (0.5000, 0.5000, 0.0000)  8 In 3.28-3.29, 4 Te 3.29
Te (0.7500, 0.2500, 0.5000)  8 In 3.28-3.29, 4 Mn 3.29

Symmetry: I-4m2
Size of the total moment (μB/f.u.): 4.372
Energy relative to the elements, uncorrected (kcal/mol of atoms): 5.93

---

# 20
Below is an optimized crystal structure of ZrZn2As, with properties calculated at the PBE level.

Lattice parameters (Å, degrees): 7.5406 7.5406 5.9542 50.71 50.71 90.00
With the nearest neighbours (Å) after each atom.
Atoms (fractional coordinates):
As (0.5000, 0.5000, 0.0000)  4 Zn 2.59, 2 Zr 2.65
As (0.2500, 0.7500, 0.5000)  4 Zn 2.59, 2 Zr 2.65
Zn (0.5925, 0.1250, 0.2500)  2 As 2.59, 2 Zn 2.69
Zn (0.1575, 0.6250, 0.2500)  2 As 2.59, 2 Zn 2.69
Zn (0.3750, 0.4075, 0.7500)  2 As 2.59, 2 Zn 2.69
Zn (0.8750, 0.8425, 0.7500)  2 As 2.59, 2 Zn 2.69
Zr (0.0000, 0.0000, 0.0000)  2 As 2.65, 4 Zn 2.92
Zr (0.7500, 0.2500, 0.5000)  2 As 2.65, 4 Zn 2.92

Energy relative to the elements (meV per atom): -198
Symmetry: I-42d
Size of the total moment (μB/f.u.): 0.000